Compound: TaZn2Ru
Source: Alexandria
Functional: PBE
Structure: relaxed

Computed properties:
The formation energy comes out at -0.030 eV/atom. The final energy comes out at -5.95 eV/atom. The magnetization is 0.00 μB per atom. The value obtained for the calculated volume is 122.4 Å³ per cell. For the polymorph energy (0 for the lowest one), the calculation gives 0.084 eV/atom.

a b c (Å): 3.153 4.321 8.982
angles (deg): 90.00 90.00 90.00
Space group Immm (No. 71)
One atom of each set of equivalent atoms:
Ta (0.000, 0.000, 0.000)
Zn (0.000, 0.500, 0.241)
Ru (0.000, 0.000, 0.500)